Record 1
! MoSeSBr2 | Alexandria via LeMat-Bulk | meta-GGA SCAN | PBEsol geometry; values from VASP
! Energy: -20.278 eV/atom
! SG: No. 123
! Uncorrected formation energy: 423.7 meV/atom
&SYSTEM
  ibrav = 0, nat = 5, ntyp = 4
/
ATOMIC_SPECIES
Mo 95.94 Mo.upf
Se 78.96 Se.upf
S 32.06 S.upf
Br 79.90 Br.upf
ATOMIC_POSITIONS angstrom
Mo 0.000 0.000 0.000
Se 0.000 0.000 2.420
S 2.461 2.461 2.420
Br 0.000 2.461 0.000
Br 2.461 0.000 0.000
CELL_PARAMETERS angstrom
4.923 0.000 0.000
0.000 4.923 0.000
0.000 0.000 4.840

Record 2
! SbMoBr | Alexandria via LeMat-Bulk | meta-GGA SCAN | PBEsol geometry; values from VASP
! Energy: -30.142 eV/atom
! SG: No. 42
! Uncorrected formation energy: 393.2 meV/atom
&SYSTEM
  ibrav = 0, nat = 3, ntyp = 3
/
ATOMIC_SPECIES
Sb 121.76 Sb.upf
Mo 95.94 Mo.upf
Br 79.90 Br.upf
ATOMIC_POSITIONS angstrom
Sb 0.000 0.000 0.000
Mo 1.537 2.836 5.408
Br 1.537 2.836 11.168
CELL_PARAMETERS angstrom
0.000 2.836 7.738
1.537 0.000 7.738
1.537 2.836 0.000

Record 3
! SbMoBr | Alexandria via LeMat-Bulk | meta-GGA SCAN | PBEsol geometry; values from VASP
! Energy: -29.068 eV/atom
! SG: No. 216
! Uncorrected formation energy: 1466.8 meV/atom
&SYSTEM
  ibrav = 0, nat = 3, ntyp = 3
/
ATOMIC_SPECIES
Sb 121.76 Sb.upf
Mo 95.94 Mo.upf
Br 79.90 Br.upf
ATOMIC_POSITIONS angstrom
Sb 0.000 0.000 0.000
Mo 3.263 3.263 3.263
Br 1.632 1.632 1.632
CELL_PARAMETERS angstrom
0.000 3.263 3.263
3.263 0.000 3.263
3.263 3.263 0.000

Record 4
! SbMo3Br | Alexandria via LeMat-Bulk | meta-GGA SCAN | PBEsol geometry; values from VASP
! Energy: -29.959 eV/atom
! SG: No. 221
! Uncorrected formation energy: 2316.1 meV/atom
&SYSTEM
  ibrav = 0, nat = 5, ntyp = 3
/
ATOMIC_SPECIES
Sb 121.76 Sb.upf
Mo 95.94 Mo.upf
Br 79.90 Br.upf
ATOMIC_POSITIONS angstrom
Sb 0.000 0.000 0.000
Mo 0.000 0.000 2.461
Mo 0.000 2.461 0.000
Mo 2.461 0.000 0.000
Br 2.461 2.461 2.461
CELL_PARAMETERS angstrom
4.921 0.000 0.000
0.000 4.921 0.000
0.000 0.000 4.921

Record 5
! ScMoBr | Alexandria via LeMat-Bulk | meta-GGA SCAN | PBEsol geometry; values from VASP
! Energy: -22.520 eV/atom
! SG: No. 187
! Uncorrected formation energy: 340.5 meV/atom
&SYSTEM
  ibrav = 0, nat = 3, ntyp = 3
/
ATOMIC_SPECIES
Sc 44.96 Sc.upf
Mo 95.94 Mo.upf
Br 79.90 Br.upf
ATOMIC_POSITIONS angstrom
Sc 0.000 0.000 0.000
Mo 2.262 1.306 1.512
Br 0.000 2.612 1.512
CELL_PARAMETERS angstrom
4.523 0.000 0.000
-2.262 3.917 0.000
0.000 0.000 3.024

Record 6
! MoSeBr | Alexandria via LeMat-Bulk | meta-GGA SCAN | PBEsol geometry; values from VASP
! Energy: -24.922 eV/atom
! SG: No. 107
! Uncorrected formation energy: -114.1 meV/atom
&SYSTEM
  ibrav = 0, nat = 3, ntyp = 3
/
ATOMIC_SPECIES
Mo 95.94 Mo.upf
Se 78.96 Se.upf
Br 79.90 Br.upf
ATOMIC_POSITIONS angstrom
Mo 0.000 0.000 0.000
Se 0.000 0.000 7.849
Br 0.000 0.000 4.726
CELL_PARAMETERS angstrom
-1.542 1.542 6.373
1.542 -1.542 6.373
1.542 1.542 -6.373

Record 7
! Mo2SeBr | Alexandria via LeMat-Bulk | meta-GGA SCAN | PBEsol geometry; values from VASP
! Energy: -26.257 eV/atom
! SG: No. 216
! Uncorrected formation energy: 1069.8 meV/atom
&SYSTEM
  ibrav = 0, nat = 4, ntyp = 3
/
ATOMIC_SPECIES
Mo 95.94 Mo.upf
Se 78.96 Se.upf
Br 79.90 Br.upf
ATOMIC_POSITIONS angstrom
Mo 0.000 0.000 0.000
Mo 1.616 1.616 1.616
Se 3.232 3.232 3.232
Br 4.848 4.848 4.848
CELL_PARAMETERS angstrom
0.000 3.232 3.232
3.232 0.000 3.232
3.232 3.232 0.000

Record 8
! Mo2SeBr | Alexandria via LeMat-Bulk | meta-GGA SCAN | PBEsol geometry; values from VASP
! Energy: -26.626 eV/atom
! SG: No. 123
! Uncorrected formation energy: 701.6 meV/atom
&SYSTEM
  ibrav = 0, nat = 4, ntyp = 3
/
ATOMIC_SPECIES
Mo 95.94 Mo.upf
Se 78.96 Se.upf
Br 79.90 Br.upf
ATOMIC_POSITIONS angstrom
Mo 0.000 2.215 0.000
Mo 2.215 0.000 0.000
Se 0.000 0.000 1.569
Br 2.215 2.215 1.569
CELL_PARAMETERS angstrom
4.430 0.000 0.000
0.000 4.430 0.000
0.000 0.000 3.138

Question: Among the records above, which one has the lowest energy?
Answer: number 2